Density functional theory data (GGA+U) for a relaxed NdUVO6 crystal.

The structure in POSCAR format:
```
NdUVO6
1.0
-4.431 2.600 1.773
3.346 -2.398 3.549
5.360 8.611 0.765
Nd U V O
2 2 2 12
direct
0.000 0.000 0.000
0.000 0.000 0.500
0.667 0.333 0.250
0.333 0.667 0.750
0.333 0.667 0.250
0.667 0.333 0.750
0.638 0.648 0.141
0.010 0.362 0.141
0.362 0.010 0.641
0.990 0.638 0.859
0.352 0.362 0.359
0.010 0.648 0.359
0.648 0.010 0.859
0.638 0.990 0.359
0.990 0.352 0.641
0.352 0.990 0.141
0.648 0.638 0.641
0.362 0.352 0.859
```

Uncorrected energy (eV per atom): -8.81
Space group: No. 163
Magnetization (μB/cell): 4.01
Theoretical density (g/cm3): 6.76